Compound: Ce5MoN8
Source: Alexandria
Functional: PBE
Structure: optimized geometry

final energy = -8.70 eV/atom
formation energy (no corrections) = -1.05 eV/atom
total magnetic moment = 0.135 μB per atom
crystal system = tetragonal
density of states at the Fermi level = 11.75 states/eV/cell

Cell lengths 6.4701, 6.4701, 6.4701 Å; angles 110.38, 107.66, 110.38 degrees
Each line ends with the local moment (μB).
Fractional coordinates of all 14 atoms:
Ce1 0.0264 0.4061 0.1408  0.30
Ce2 0.8592 0.8856 0.2653  0.30
Ce3 0.3797 0.1144 0.9736  0.30
Ce4 0.7347 0.5939 0.6203  0.30
Ce5 0.5000 0.0000 0.5000  0.26
N1 0.6570 0.3504 0.8806  -0.02
N2 0.5302 0.6496 0.3066  -0.02
N3 0.2126 0.2845 0.4199  -0.02
N4 0.5801 0.7927 0.8646  -0.02
N5 0.1354 0.7155 0.9281  -0.02
N6 0.0719 0.2073 0.7874  -0.02
N7 0.6934 0.2236 0.3430  -0.02
N8 0.1194 0.7764 0.4698  -0.02
Mo1 0.2500 0.5000 0.7500  0.36

=====

Compound: RbAlAsBr2
Source: Alexandria
Functional: PBE
Structure: optimized geometry

final energy = -2.23 eV/atom
formation energy (no corrections) = 0.31 eV/atom
total magnetic moment = 0.614 μB per atom
crystal system = tetragonal

Cell lengths 6.4357, 6.4357, 6.3970 Å; angles 90.00, 90.00, 90.00 degrees
Each line ends with the local moment (μB).
Fractional coordinates of all 5 atoms:
Al1 0.5000 0.5000 0.5000  0.01
Br1 0.5000 0.0000 0.0000  0.09
Br2 0.0000 0.5000 0.0000  0.09
As1 0.0000 0.0000 0.5000  1.21
Rb1 0.0000 0.0000 0.0000  0.04

=====

The highest formation energy (no corrections) belongs to which entry?
RbAlAsBr2

=====

Which of these has the lowest formation energy (no corrections)?
Ce5MoN8

=====

Which value of final energy does entry 2 give?
-2.23 eV/atom

=====

final energy of number 1 (Ce5MoN8)?
-8.70 eV/atom